1.
Cr3CI: relaxed, PBE.

abc: 5.256 5.256 5.256
angles: 90.00 90.00 90.00
Positions (direct):
Cr  0.500  0.000  0.000
Cr  0.000  0.500  0.000
Cr  0.000  0.000  0.500
C  0.500  0.500  0.500
I  0.000  0.000  0.000

Calculated values
Its formation energy from raw total energies is 2629.2 meV per atom. As for the symmetry: No. 221. For the polymorph energy (0 for the lowest one), the calculation gives 1972.5 meV/atom.

=====

2.
CrCI2: relaxed, PBE.

abc: 5.812 5.812 7.031
angles: 65.59 65.59 90.00
Positions (direct):
C  0.500  0.500  0.000
C  0.250  0.750  0.500
I  0.129  0.625  0.250
I  0.621  0.125  0.250
I  0.875  0.871  0.750
I  0.375  0.379  0.750
Cr  0.750  0.250  0.500
Cr  0.000  0.000  0.000

Calculated values
Its formation energy from raw total energies is 1888.7 meV per atom. As for the symmetry: No. 122. For the polymorph energy (0 for the lowest one), the calculation gives 0.0 meV/atom.